# 1
Crystalline K2InSb at its relaxed geometry. Source: the Alexandria database, functional GGA-PBE.

Cell: 12.998 4.506 5.838 Å, 90.00 116.66 90.00°
Space group Cm (No. 8)
Inequivalent atoms, fractional coordinates:
K  0.000  0.000  0.000 [2 per cell]
K  0.194  0.000  0.694 [2 per cell]
In  0.420  0.000  0.420 [2 per cell]
Sb  0.259  0.500  0.259 [2 per cell]

Output
E_form (uncorrected) ... -0.312 eV/atom
Excess energy over the best structure of this formula in the dataset ... 15 meV per atom
V ... 38.2 Å³/atom

=====

# 2
Crystalline LiGa2Mo at its relaxed geometry. Source: the Alexandria database, functional GGA-PBE.

Cell: 2.8727 2.8727 26.7882 Å, 90.00 90.00 120.00°
Space group R-3m (No. 166, hexagonal axes)
Inequivalent atoms, fractional coordinates:
Li  0.0000  0.0000  0.0000 [3 per cell]
Ga  0.0000  0.0000  0.2498 [6 per cell]
Mo  0.0000  0.0000  0.5000 [3 per cell]

Output
Energy of formation from the pure elements ... -0.0835 eV/atom
Excess energy over the best structure of this formula in the dataset ... 66 meV per atom
V ... 16.0 Å³/atom

=====

# 3
Crystalline Tb3Pr3Ag2 at its relaxed geometry. Source: the Alexandria database, functional GGA-PBE.

Cell: 5.182 11.751 16.002 Å, 90.00 90.00 90.00°
Space group Cmcm (No. 63)
Inequivalent atoms, fractional coordinates:
Tb  0.000  0.081  0.250 [4 per cell]
Tb  0.000  0.145  0.533 [8 per cell]
Pr  0.000  0.204  0.750 [4 per cell]
Pr  0.000  0.458  0.608 [8 per cell]
Ag  0.000  0.269  0.124 [8 per cell]

Output
Energy of formation from the pure elements ... -0.0713 eV/atom
V ... 30.5 Å³/atom

=====

# 4
Crystalline TaBe2Sb at its relaxed geometry. Source: the Alexandria database, functional GGA-PBE.

Cell: 3.086 3.754 5.205 Å, 90.00 90.17 90.00°
Space group P2/m (No. 10)
Inequivalent atoms, fractional coordinates:
Ta  0.000  0.000  0.000 [1 per cell]
Be  0.498  0.500  0.807 [2 per cell]
Sb  0.500  0.000  0.500 [1 per cell]

Output
E_form (uncorrected) ... 0.266 eV/atom
V ... 15.1 Å³/atom

=====

# 5
Crystalline Zr2VNi at its relaxed geometry. Source: the Alexandria database, functional GGA-PBE.

Cell: 4.035 4.035 18.652 Å, 90.00 90.00 90.00°
Space group I-42d (No. 122)
Inequivalent atoms, fractional coordinates:
Zr  0.246  0.250  0.125 [8 per cell]
V  0.000  0.000  0.500 [4 per cell]
Ni  0.000  0.000  0.000 [4 per cell]

Output
Energy of formation from the pure elements ... 0.6000 eV/atom
Excess energy over the best structure of this formula in the dataset ... 718 meV per atom
V ... 19.0 Å³/atom

=====

# 6
Crystalline La2ScCr at its relaxed geometry. Source: the Alexandria database, functional GGA-PBE.

Cell: 3.821 3.821 7.826 Å, 90.00 90.00 90.00°
Space group P4/mmm (No. 123)
Inequivalent atoms, fractional coordinates:
La  0.000  0.000  0.227 [2 per cell]
Sc  0.500  0.500  0.500 [1 per cell]
Cr  0.500  0.500  0.000 [1 per cell]

Output
Energy of formation from the pure elements ... 0.2827 eV/atom
Excess energy over the best structure of this formula in the dataset ... 28 meV per atom
V ... 28.6 Å³/atom

=====

# 7
Crystalline BaHgNF2 at its relaxed geometry. Source: the Alexandria database, functional GGA-PBE.

Cell: 5.002 5.002 6.407 Å, 90.00 90.00 90.00°
Space group P4/mmm (No. 123)
Inequivalent atoms, fractional coordinates:
Ba  0.000  0.000  0.000 [1 per cell]
Hg  0.500  0.500  0.500 [1 per cell]
N  0.000  0.000  0.500 [1 per cell]
F  0.000  0.500  0.000 [2 per cell]

Output
E_form (uncorrected) ... -1.015 eV/atom
Excess energy over the best structure of this formula in the dataset ... 178 meV per atom
V ... 32.1 Å³/atom

=====

# 8
Crystalline TlReRh2 at its relaxed geometry. Source: the Alexandria database, functional GGA-PBE.

Cell: 4.138 4.138 3.824 Å, 90.00 90.00 90.00°
Space group P4/mmm (No. 123)
Inequivalent atoms, fractional coordinates:
Tl  0.000  0.000  0.000 [1 per cell]
Re  0.500  0.500  0.000 [1 per cell]
Rh  0.000  0.500  0.500 [2 per cell]

Output
Energy of formation from the pure elements ... 0.5591 eV/atom
Excess energy over the best structure of this formula in the dataset ... 479 meV per atom
V ... 16.4 Å³/atom

=====

# 9
Crystalline Mg3NbBr at its relaxed geometry. Source: the Alexandria database, functional GGA-PBE.

Cell: 5.621 5.621 5.621 Å, 90.00 90.00 90.00°
Space group Pm-3m (No. 221)
Inequivalent atoms, fractional coordinates:
Mg  0.000  0.000  0.500 [3 per cell]
Nb  0.000  0.000  0.000 [1 per cell]
Br  0.500  0.500  0.500 [1 per cell]

Output
E_form (uncorrected) ... 0.879 eV/atom
Excess energy over the best structure of this formula in the dataset ... 69 meV per atom
V ... 35.5 Å³/atom

=====

# 10
Crystalline CePaCo3 at its relaxed geometry. Source: the Alexandria database, functional GGA-PBE.

Cell: 4.023 4.023 10.666 Å, 90.00 90.00 90.00°
Space group I4mm (No. 107)
Inequivalent atoms, fractional coordinates:
Ce  0.000  0.000  0.000 [2 per cell]
Pa  0.000  0.000  0.661 [2 per cell]
Co  0.000  0.000  0.449 [2 per cell]
Co  0.000  0.500  0.311 [4 per cell]

Output
Energy of formation from the pure elements ... -0.1553 eV/atom
V ... 17.3 Å³/atom

=====

# 11
Crystalline CdAs3Au at its relaxed geometry. Source: the Alexandria database, functional GGA-PBE.

Cell: 5.080 5.080 5.080 Å, 90.00 90.00 90.00°
Space group Pm-3m (No. 221)
Inequivalent atoms, fractional coordinates:
Cd  0.000  0.000  0.000 [1 per cell]
As  0.000  0.500  0.500 [3 per cell]
Au  0.500  0.500  0.500 [1 per cell]

Output
Energy of formation from the pure elements ... 0.7757 eV/atom
Excess energy over the best structure of this formula in the dataset ... 0 meV per atom
V ... 26.2 Å³/atom

=====

# 12
Crystalline Ba2NiMoH at its relaxed geometry. Source: the Alexandria database, functional GGA-PBE.

Cell: 5.923 5.923 4.443 Å, 90.00 90.00 90.00°
Space group P4/mmm (No. 123)
Inequivalent atoms, fractional coordinates:
Ba  0.000  0.500  0.000 [2 per cell]
Ni  0.000  0.000  0.500 [1 per cell]
Mo  0.000  0.000  0.000 [1 per cell]
H  0.500  0.500  0.500 [1 per cell]

Output
Electronic total energy ... -3.98 eV/atom
V ... 31.2 Å³/atom

=====

# 13
Crystalline V2PS at its relaxed geometry. Source: the Alexandria database, functional GGA-PBE.

Cell: 5.884 5.884 5.884 Å, 90.00 90.00 90.00°
Space group Fm-3m (No. 225)
Inequivalent atoms, fractional coordinates:
V  0.250  0.250  0.250 [8 per cell]
P  0.000  0.000  0.000 [4 per cell]
S  0.000  0.000  0.500 [4 per cell]

Output
E_form (uncorrected) ... -0.460 eV/atom
Excess energy over the best structure of this formula in the dataset ... 197 meV per atom
V ... 12.7 Å³/atom

=====

# 14
Crystalline SrLaIrPd at its relaxed geometry. Source: the Alexandria database, functional GGA-PBE.

Cell: 7.272 7.272 7.272 Å, 90.00 90.00 90.00°
Space group F-43m (No. 216)
Inequivalent atoms, fractional coordinates:
Sr  0.000  0.000  0.000 [4 per cell]
La  0.000  0.000  0.500 [4 per cell]
Ir  0.250  0.250  0.250 [4 per cell]
Pd  0.250  0.250  0.750 [4 per cell]

Output
Energy of formation from the pure elements ... -0.5042 eV/atom
V ... 24.0 Å³/atom

=====

# 15
Crystalline ZrCd2Pt at its relaxed geometry. Source: the Alexandria database, functional GGA-PBE.

Cell: 3.0777 3.0777 29.1961 Å, 90.00 90.00 120.00°
Space group R-3m (No. 166, hexagonal axes)
Inequivalent atoms, fractional coordinates:
Zr  0.0000  0.0000  0.0000 [3 per cell]
Cd  0.0000  0.0000  0.2432 [6 per cell]
Pt  0.0000  0.0000  0.5000 [3 per cell]

Output
Energy of formation from the pure elements ... -0.1041 eV/atom
V ... 20.0 Å³/atom

=====

# 16
Crystalline CrRu2W at its relaxed geometry. Source: the Alexandria database, functional GGA-PBE.

Cell: 2.716 2.716 7.640 Å, 90.00 90.00 90.00°
Space group P4mm (No. 99)
Inequivalent atoms, fractional coordinates:
Cr  0.000  0.000  0.000 [1 per cell]
Ru  0.000  0.000  0.479 [1 per cell]
Ru  0.500  0.500  0.224 [1 per cell]
W  0.500  0.500  0.742 [1 per cell]

Output
Energy of formation from the pure elements ... 0.1803 eV/atom
Excess energy over the best structure of this formula in the dataset ... 100 meV per atom
V ... 14.1 Å³/atom

=====

# 17
Crystalline TcRhC3 at its relaxed geometry. Source: the Alexandria database, functional GGA-PBE.

Cell: 3.969 3.969 3.969 Å, 90.00 90.00 90.00°
Space group Pm-3m (No. 221)
Inequivalent atoms, fractional coordinates:
Tc  0.000  0.000  0.000 [1 per cell]
Rh  0.500  0.500  0.500 [1 per cell]
C  0.000  0.000  0.500 [3 per cell]

Output
Energy of formation from the pure elements ... 2.0905 eV/atom
Excess energy over the best structure of this formula in the dataset ... 0 meV per atom
V ... 12.5 Å³/atom

=====

# 18
Crystalline CdBW at its relaxed geometry. Source: the Alexandria database, functional GGA-PBE.

Cell: 3.069 5.158 5.796 Å, 90.00 90.00 90.00°
Space group Pmc2_1 (No. 26)
Inequivalent atoms, fractional coordinates:
Cd  0.000  0.077  0.000 [2 per cell]
B  0.000  0.457  0.640 [2 per cell]
W  0.500  0.402  0.376 [2 per cell]

Output
Energy of formation from the pure elements ... 0.2748 eV/atom
Excess energy over the best structure of this formula in the dataset ... 280 meV per atom
V ... 15.3 Å³/atom

=====

# 19
Crystalline ZrMnCu2 at its relaxed geometry. Source: the Alexandria database, functional GGA-PBE.

Cell: 2.9077 2.9077 25.8240 Å, 90.00 90.00 120.00°
Space group R3m (No. 160, hexagonal axes)
Inequivalent atoms, fractional coordinates:
Zr  0.0000  0.0000  0.0000 [3 per cell]
Mn  0.0000  0.0000  0.2404 [3 per cell]
Cu  0.0000  0.0000  0.4972 [3 per cell]
Cu  0.0000  0.0000  0.7573 [3 per cell]

Output
Energy of formation from the pure elements ... 0.2578 eV/atom
V ... 15.8 Å³/atom

=====

# 20
Crystalline Sb2IrAu at its relaxed geometry. Source: the Alexandria database, functional GGA-PBE.

Cell: 3.238 3.238 7.895 Å, 90.00 90.00 90.00°
Space group P4/mmm (No. 123)
Inequivalent atoms, fractional coordinates:
Sb  0.000  0.000  0.222 [2 per cell]
Ir  0.500  0.500  0.000 [1 per cell]
Au  0.500  0.500  0.500 [1 per cell]

Output
E_form (uncorrected) ... 0.138 eV/atom
Excess energy over the best structure of this formula in the dataset ... 146 meV per atom
V ... 20.7 Å³/atom

=====

# 21
Crystalline Nd2CI at its relaxed geometry. Source: the Alexandria database, functional GGA-PBE.

Cell: 3.8796 3.8796 23.4339 Å, 90.00 90.00 120.00°
Space group R3m (No. 160, hexagonal axes)
Inequivalent atoms, fractional coordinates:
Nd  0.0000  0.0000  0.0000 [3 per cell]
Nd  0.0000  0.0000  0.2173 [3 per cell]
C  0.0000  0.0000  0.6094 [3 per cell]
I  0.0000  0.0000  0.4414 [3 per cell]

Output
E_form (uncorrected) ... -0.687 eV/atom
V ... 25.5 Å³/atom

=====

# 22
Crystalline Sc2CoMo at its relaxed geometry. Source: the Alexandria database, functional GGA-PBE.

Cell: 2.9681 2.9681 27.8081 Å, 90.00 90.00 120.00°
Space group R-3m (No. 166, hexagonal axes)
Inequivalent atoms, fractional coordinates:
Sc  0.0000  0.0000  0.0969 [6 per cell]
Co  0.0000  0.0000  0.5000 [3 per cell]
Mo  0.0000  0.0000  0.0000 [3 per cell]

Output
Energy of formation from the pure elements ... 0.4106 eV/atom
V ... 17.7 Å³/atom

=====

# 23
Crystalline CsAgN2 at its relaxed geometry. Source: the Alexandria database, functional GGA-PBE.

Cell: 4.7890 4.7890 20.2863 Å, 90.00 90.00 120.00°
Space group R-3m (No. 166, hexagonal axes)
Inequivalent atoms, fractional coordinates:
Cs  0.0000  0.0000  0.0000 [3 per cell]
Ag  0.0000  0.0000  0.5000 [3 per cell]
N  0.0000  0.0000  0.4091 [6 per cell]

Output
E_form (uncorrected) ... 1.767 eV/atom
V ... 33.6 Å³/atom